Entry 1:
Dy2HfGa | PBE | relaxed

Unit cell a=3.402 b=3.402 c=8.568 alpha=90.00 beta=90.00 gamma=90.00
Space group P4/mmm (No. 123)
Symmetry-distinct sites (fractional):
Dy 0.000 0.000 0.229
Hf 0.500 0.500 0.500
Ga 0.500 0.500 0.000

Output
Formation enthalpy at 0 K, eV per atom: -0.199
Fermi-level density of states, states/eV/f.u.: 2.87
Distance to the lowest polymorph of the same formula, kJ/mol of formula units: 0.0


Entry 2:
Dy2HfGa | PBE | relaxed

Unit cell a=3.2852 b=3.2852 c=33.3648 alpha=90.00 beta=90.00 gamma=120.00
Space group R-3m (No. 166, hexagonal axes)
Symmetry-distinct sites (fractional):
Dy 0.0000 0.0000 0.0968
Hf 0.0000 0.0000 0.0000
Ga 0.0000 0.0000 0.5000

Output
Formation enthalpy at 0 K, eV per atom: 0.179
Fermi-level density of states, states/eV/f.u.: 5.44
Distance to the lowest polymorph of the same formula, kJ/mol of formula units: 146.1


Entry 3:
Dy3HfGa12 | PBE | relaxed

Unit cell a=4.221 b=4.221 c=16.989 alpha=90.00 beta=90.00 gamma=90.00
Space group P4/mmm (No. 123)
Symmetry-distinct sites (fractional):
Dy 0.000 0.000 0.000
Dy 0.000 0.000 0.256
Hf 0.000 0.000 0.500
Ga 0.000 0.500 0.127
Ga 0.000 0.500 0.381
Ga 0.500 0.500 0.000
Ga 0.500 0.500 0.251
Ga 0.500 0.500 0.500

Output
Formation enthalpy at 0 K, eV per atom: -0.496
Fermi-level density of states, states/eV/f.u.: 6.08


Entry 4:
DyHfGa2 | PBE | relaxed

Unit cell a=3.4895 b=3.4895 c=25.1416 alpha=90.00 beta=90.00 gamma=120.00
Space group R-3m (No. 166, hexagonal axes)
Symmetry-distinct sites (fractional):
Dy 0.0000 0.0000 0.0000
Hf 0.0000 0.0000 0.5000
Ga 0.0000 0.0000 0.2457

Output
Formation enthalpy at 0 K, eV per atom: -0.292
Fermi-level density of states, states/eV/f.u.: 2.96
Distance to the lowest polymorph of the same formula, kJ/mol of formula units: 48.5


Entry 5:
DyHfGa | PBE | relaxed

Unit cell a=4.8118 b=4.8118 c=3.5183 alpha=90.00 beta=90.00 gamma=120.00
Space group P3m1 (No. 156)
Symmetry-distinct sites (fractional):
Dy 0.0000 0.0000 0.0000
Hf 0.3333 0.6667 0.4992
Ga 0.6667 0.3333 0.5039

Output
Formation enthalpy at 0 K, eV per atom: -0.121
Fermi-level density of states, states/eV/f.u.: 3.35
Distance to the lowest polymorph of the same formula, kJ/mol of formula units: 78.8


Entry 6:
DyHfGa2 | PBE | relaxed

Unit cell a=3.568 b=3.568 c=6.473 alpha=90.00 beta=90.00 gamma=90.00
Space group P4/mmm (No. 123)
Symmetry-distinct sites (fractional):
Dy 0.000 0.000 0.000
Hf 0.000 0.000 0.500
Ga 0.500 0.500 0.279

Output
Formation enthalpy at 0 K, eV per atom: -0.418
Fermi-level density of states, states/eV/f.u.: 3.54
Distance to the lowest polymorph of the same formula, kJ/mol of formula units: 0.0


Entry 7:
DyHfGaIr | PBE | relaxed

Unit cell a=6.810 b=6.810 c=6.810 alpha=90.00 beta=90.00 gamma=90.00
Space group F-43m (No. 216)
Symmetry-distinct sites (fractional):
Dy 0.000 0.000 0.000
Hf 0.000 0.000 0.500
Ga 0.250 0.250 0.250
Ir 0.250 0.250 0.750

Output
Formation enthalpy at 0 K, eV per atom: -0.562
Fermi-level density of states, states/eV/f.u.: 2.91


Entry 8:
LiDyHfGa | PBE | relaxed

Unit cell a=6.884 b=6.884 c=6.884 alpha=90.00 beta=90.00 gamma=90.00
Space group F-43m (No. 216)
Symmetry-distinct sites (fractional):
Li 0.000 0.000 0.000
Dy 0.250 0.250 0.750
Hf 0.250 0.250 0.250
Ga 0.000 0.000 0.500

Output
Formation enthalpy at 0 K, eV per atom: -0.156
Fermi-level density of states, states/eV/f.u.: 2.67


Entry 9:
DyHfGa2Ni5 | PBE | relaxed

Unit cell a=3.894 b=3.894 c=8.742 alpha=90.00 beta=90.00 gamma=90.00
Space group P4/mmm (No. 123)
Symmetry-distinct sites (fractional):
Dy 0.000 0.000 0.000
Hf 0.000 0.000 0.500
Ga 0.500 0.500 0.364
Ni 0.000 0.500 0.220
Ni 0.500 0.500 0.000

Output
Formation enthalpy at 0 K, eV per atom: -0.299
Fermi-level density of states, states/eV/f.u.: 8.33


Entry 10:
DyHfGaOs | PBE | relaxed

Unit cell a=6.774 b=6.774 c=6.774 alpha=90.00 beta=90.00 gamma=90.00
Space group F-43m (No. 216)
Symmetry-distinct sites (fractional):
Dy 0.000 0.000 0.000
Hf 0.000 0.000 0.500
Ga 0.250 0.250 0.250
Os 0.250 0.250 0.750

Output
Formation enthalpy at 0 K, eV per atom: -0.339
Fermi-level density of states, states/eV/f.u.: 1.81


Entry 11:
Dy2HfGa3Pt4 | PBE | relaxed

Unit cell a=4.110 b=4.110 c=11.411 alpha=90.00 beta=90.00 gamma=90.00
Space group P-4m2 (No. 115)
Symmetry-distinct sites (fractional):
Dy 0.000 0.500 0.234
Hf 0.000 0.000 0.500
Ga 0.000 0.500 0.868
Ga 0.500 0.500 0.500
Pt 0.000 0.000 0.000
Pt 0.000 0.500 0.651
Pt 0.500 0.500 0.000

Output
Formation enthalpy at 0 K, eV per atom: -0.974
Fermi-level density of states, states/eV/f.u.: 6.44


Entry 12:
Dy2HfGa2Rh5 | PBE | relaxed

Unit cell a=9.945 b=9.945 c=3.533 alpha=90.00 beta=90.00 gamma=90.00
Space group P4/mbm (No. 127)
Symmetry-distinct sites (fractional):
Dy 0.172 0.328 0.000
Hf 0.000 0.000 0.000
Ga 0.125 0.625 0.000
Rh 0.000 0.500 0.500
Rh 0.067 0.795 0.500

Output
Formation enthalpy at 0 K, eV per atom: -0.880
Fermi-level density of states, states/eV/f.u.: 5.17


Entry 13:
DyHfGaRh | PBE | relaxed

Unit cell a=6.807 b=6.807 c=6.807 alpha=90.00 beta=90.00 gamma=90.00
Space group F-43m (No. 216)
Symmetry-distinct sites (fractional):
Dy 0.000 0.000 0.000
Hf 0.000 0.000 0.500
Ga 0.250 0.250 0.250
Rh 0.250 0.250 0.750

Output
Formation enthalpy at 0 K, eV per atom: -0.547
Fermi-level density of states, states/eV/f.u.: 3.10


Entry 14:
DyHfGaTc | PBE | relaxed

Unit cell a=6.787 b=6.787 c=6.787 alpha=90.00 beta=90.00 gamma=90.00
Space group F-43m (No. 216)
Symmetry-distinct sites (fractional):
Dy 0.000 0.000 0.000
Hf 0.000 0.000 0.500
Ga 0.250 0.250 0.750
Tc 0.250 0.250 0.250

Output
Formation enthalpy at 0 K, eV per atom: -0.292
Fermi-level density of states, states/eV/f.u.: 2.19


Entry 15:
DyHfZnGa | PBE | relaxed

Unit cell a=6.858 b=6.858 c=6.858 alpha=90.00 beta=90.00 gamma=90.00
Space group F-43m (No. 216)
Symmetry-distinct sites (fractional):
Dy 0.000 0.000 0.000
Hf 0.000 0.000 0.500
Zn 0.250 0.250 0.750
Ga 0.250 0.250 0.250

Output
Formation enthalpy at 0 K, eV per atom: -0.325
Fermi-level density of states, states/eV/f.u.: 1.62


Entry 16:
Dy5GaHg2 | PBE | relaxed

Unit cell a=7.642 b=7.642 c=14.959 alpha=90.00 beta=90.00 gamma=90.00
Space group I4/mcm (No. 140)
Symmetry-distinct sites (fractional):
Dy 0.000 0.000 0.000
Dy 0.165 0.335 0.155
Ga 0.000 0.000 0.250
Hg 0.133 0.367 0.500

Output
Formation enthalpy at 0 K, eV per atom: -0.357
Fermi-level density of states, states/eV/f.u.: 7.39


Entry 17:
Dy4GaHg | PBE | relaxed

Unit cell a=4.995 b=4.995 c=7.194 alpha=90.00 beta=90.00 gamma=90.00
Space group P4/mmm (No. 123)
Symmetry-distinct sites (fractional):
Dy 0.000 0.500 0.246
Ga 0.000 0.000 0.000
Hg 0.500 0.500 0.500

Output
Formation enthalpy at 0 K, eV per atom: -0.173
Fermi-level density of states, states/eV/f.u.: 8.61
Distance to the lowest polymorph of the same formula, kJ/mol of formula units: 89.8


Entry 18:
Dy6Ga2Hg | PBE | relaxed

Unit cell a=9.648 b=9.685 c=10.455 alpha=90.00 beta=90.00 gamma=90.00
Space group Immm (No. 71)
Symmetry-distinct sites (fractional):
Dy 0.000 0.205 0.177
Dy 0.181 0.225 0.500
Dy 0.199 0.500 0.254
Ga 0.000 0.000 0.378
Ga 0.146 0.000 0.000
Hg 0.000 0.500 0.000
Hg 0.000 0.500 0.500

Output
Formation enthalpy at 0 K, eV per atom: -0.406
Fermi-level density of states, states/eV/f.u.: 6.15
Distance to the lowest polymorph of the same formula, kJ/mol of formula units: 0.0


Entry 19:
Dy4Ga2Hg5 | PBE | relaxed

Unit cell a=7.740 b=3.732 c=9.309 alpha=90.00 beta=92.36 gamma=90.00
Space group P2/m (No. 10)
Symmetry-distinct sites (fractional):
Dy 0.195 0.000 0.362
Dy 0.247 0.000 0.918
Ga 0.066 0.500 0.126
Hg 0.147 0.500 0.636
Hg 0.439 0.500 0.168
Hg 0.500 0.500 0.500

Output
Formation enthalpy at 0 K, eV per atom: -0.447
Fermi-level density of states, states/eV/f.u.: 5.97


Entry 20:
Dy4Ga3Hg | PBE | relaxed

Unit cell a=5.109 b=5.109 c=7.241 alpha=90.00 beta=90.00 gamma=90.00
Space group P4/mmm (No. 123)
Symmetry-distinct sites (fractional):
Dy 0.000 0.500 0.244
Ga 0.000 0.000 0.000
Ga 0.000 0.000 0.500
Ga 0.500 0.500 0.000
Hg 0.500 0.500 0.500

Output
Formation enthalpy at 0 K, eV per atom: -0.551
Fermi-level density of states, states/eV/f.u.: 4.58
Distance to the lowest polymorph of the same formula, kJ/mol of formula units: 4.7